[1]
## Ti5Al4Ag (PBE)

Data for an optimized crystal structure of Ti5Al4Ag.

Calculated values
Spin magnetization ... 0.016 μB per cell
Crystal system ... tetragonal
Total DFT energy (no corrections) ... -60.4 eV for the cell shown
DFT formation energy ... -0.313 eV per atom

a b c (Å): 2.8390 2.8390 20.3108
angles (deg): 90.00 90.00 90.00
Closest atoms and distances in Å follow each position.
Space group P4/mmm (No. 123)
Unique sites:
Ti: 0.0000 0.0000 0.0000 (multiplicity 1)  4 Ti 2.84, 8 Al 2.85
Ti: 0.0000 0.0000 0.1994 (multiplicity 2)  4 Ti 2.84, 8 Al 2.85
Ti: 0.0000 0.0000 0.3947 (multiplicity 2)  4 Al 2.80, 4 Ti 2.84, 4 Ag 2.93
Al: 0.5000 0.5000 0.0999 (multiplicity 2)  4 Al 2.84, 8 Ti 2.85
Al: 0.5000 0.5000 0.2989 (multiplicity 2)  8 Ti 2.80-2.85, 4 Al 2.84
Ag: 0.5000 0.5000 0.5000 (multiplicity 1)  4 Ag 2.84, 8 Ti 2.93


[2]
## Mg5Ga2Hg (PBE)

Data for an optimized crystal structure of Mg5Ga2Hg.

Calculated values
Spin magnetization ... 0.000 μB per cell
Crystal system ... tetragonal
Total DFT energy (no corrections) ... -62.3 eV for the cell shown
DFT formation energy ... -0.157 eV per atom

a b c (Å): 7.1178 7.1178 13.2975
angles (deg): 90.00 90.00 90.00
Closest atoms and distances in Å follow each position.
Space group I4/mcm (No. 140)
Unique sites:
Mg: 0.0000 0.0000 0.0000 (multiplicity 4)  4 Ga 2.79
Mg: 0.1632 0.3368 0.1511 (multiplicity 16)  3 Ga 2.89-2.91, 2 Hg 2.97, 1 Mg 3.16
Ga: 0.1309 0.3691 0.5000 (multiplicity 8)  1 Ga 2.63, 8 Mg 2.79-2.91
Hg: 0.0000 0.0000 0.2500 (multiplicity 4)  10 Mg 2.97-3.32